## CdSiPb2 (GGA-PBE)

Data for CdSiPb2 after structural relaxation.

Computed properties:
For the energy relative to the elements, uncorrected, the calculation gives 327 meV per atom. For the polymorph energy (0 for the lowest one), the calculation gives 5.1 kJ per mole of atoms. The value obtained for the uncorrected energy is -3.11 eV per atom. As for the density of states at the Fermi level: 1.81 states/eV/f.u.

abc: 7.4569 7.4569 7.4569
angles: 90.00 90.00 90.00
With the nearest neighbours (Å) after each atom.
Positions (direct):
Cd1 0.0000 0.0000 0.0000  8 Pb 3.23
Cd2 0.0000 0.5000 0.5000  8 Pb 3.23
Cd3 0.5000 0.0000 0.5000  8 Pb 3.23
Cd4 0.5000 0.5000 0.0000  8 Pb 3.23
Si1 0.0000 0.0000 0.5000  8 Pb 3.23
Si2 0.0000 0.5000 0.0000  8 Pb 3.23
Si3 0.5000 0.0000 0.0000  8 Pb 3.23
Si4 0.5000 0.5000 0.5000  8 Pb 3.23
Pb1 0.2500 0.2500 0.2500  4 Cd 3.23, 4 Si 3.23
Pb2 0.2500 0.2500 0.7500  4 Cd 3.23, 4 Si 3.23
Pb3 0.2500 0.7500 0.2500  4 Cd 3.23, 4 Si 3.23
Pb4 0.2500 0.7500 0.7500  4 Cd 3.23, 4 Si 3.23
Pb5 0.7500 0.2500 0.2500  4 Cd 3.23, 4 Si 3.23
Pb6 0.7500 0.2500 0.7500  4 Cd 3.23, 4 Si 3.23
Pb7 0.7500 0.7500 0.2500  4 Cd 3.23, 4 Si 3.23
Pb8 0.7500 0.7500 0.7500  4 Cd 3.23, 4 Si 3.23